CsLaAs3 GGA-PBE optimized geometry; total magnetic moment = 0.0 μB/f.u.; ΔE_f = 4.19 eV per formula unit; DOS at the Fermi energy = 2.7 states/eV per cell
1.0
-5.267 0.768 -1.391
-1.571 -3.227 4.169
-0.234 4.388 3.309
La As Cs
1 3 1
Cartesian
-3.536 0.965 3.044 La
-0.117 2.194 1.654 As
-2.633 0.384 -0.695 As
-0.786 -1.614 2.084 As
0.000 0.000 0.000 Cs